1.
The following is a PBE-GGA calculation of Sr2PuIn3Pt4 after structural relaxation, from Alexandria.

Cell: 4.719 4.719 11.169 Å, 90.00 90.00 90.00°
Space group P-4m2 (No. 115)
One atom of each set of equivalent atoms:
Sr (0.000, 0.500, 0.223) [2 per cell]
Pu (0.000, 0.000, 0.500) [1 per cell]
In (0.000, 0.500, 0.880) [2 per cell]
In (0.500, 0.500, 0.500) [1 per cell]
Pt (0.000, 0.000, 0.000) [1 per cell]
Pt (0.000, 0.500, 0.640) [2 per cell]
Pt (0.500, 0.500, 0.000) [1 per cell]

Summary:
**Electronic total energy**: -5.6788 eV per atom
**Total magnetization**: 5.6 μB per cell

2.
The following is a PBE-GGA calculation of Pm2ErSe3 after structural relaxation, from Alexandria.

Cell: 4.0676 4.0676 21.1685 Å, 90.00 90.00 120.00°
Space group P6_3/mmc (No. 194)
One atom of each set of equivalent atoms:
Pm (0.3333, 0.6667, 0.0831) [4 per cell]
Er (0.0000, 0.0000, 0.2500) [2 per cell]
Se (0.0000, 0.0000, 0.0000) [2 per cell]
Se (0.3333, 0.6667, 0.6695) [4 per cell]

Summary:
**Total magnetization**: 0.0 μB per cell
**Formation energy (no corrections)**: -1.763 eV per atom

3.
The following is a PBE-GGA calculation of Cs2Tl2Ni after structural relaxation, from Alexandria.

Cell: 7.399 7.399 6.771 Å, 90.00 90.00 90.00°
Space group P4/mbm (No. 127)
One atom of each set of equivalent atoms:
Cs (0.176, 0.324, 0.000) [4 per cell]
Tl (0.186, 0.686, 0.500) [4 per cell]
Ni (0.000, 0.000, 0.500) [2 per cell]

Summary:
**Electronic total energy**: -2.1820 eV per atom
**Total magnetization**: 0.0 μB per cell

4.
The following is a PBE-GGA calculation of Ca2LaOs after structural relaxation, from Alexandria.

Cell: 3.423 3.423 9.993 Å, 90.00 90.00 90.00°
Space group P4/mmm (No. 123)
One atom of each set of equivalent atoms:
Ca (0.000, 0.000, 0.171) [2 per cell]
La (0.500, 0.500, 0.500) [1 per cell]
Os (0.500, 0.500, 0.000) [1 per cell]

Summary:
**Electronic total energy**: -4.6199 eV per atom
**Total magnetization**: 0.0 μB per cell

5.
The following is a PBE-GGA calculation of Cd2SnSN after structural relaxation, from Alexandria.

Cell: 4.953 4.953 5.509 Å, 90.00 90.00 90.00°
Space group P4/mmm (No. 123)
One atom of each set of equivalent atoms:
Cd (0.000, 0.500, 0.000) [2 per cell]
Sn (0.000, 0.000, 0.500) [1 per cell]
S (0.000, 0.000, 0.000) [1 per cell]
N (0.500, 0.500, 0.500) [1 per cell]

Summary:
**Total magnetization**: 0.0 μB per cell
**Formation energy (no corrections)**: 1.295 eV per atom

6.
The following is a PBE-GGA calculation of CaPrDyTl after structural relaxation, from Alexandria.

Cell: 7.913 7.913 7.913 Å, 90.00 90.00 90.00°
Space group F-43m (No. 216)
One atom of each set of equivalent atoms:
Ca (0.000, 0.000, 0.000) [4 per cell]
Pr (0.250, 0.250, 0.250) [4 per cell]
Dy (0.250, 0.250, 0.750) [4 per cell]
Tl (0.000, 0.000, 0.500) [4 per cell]

Summary:
**Electronic total energy**: -3.5187 eV per atom
**Total magnetization**: 0.0 μB per cell

7.
The following is a PBE-GGA calculation of TbNd5Sm3 after structural relaxation, from Alexandria.

Cell: 11.560 11.504 11.779 Å, 90.00 115.90 90.00°
Space group C2/m (No. 12)
One atom of each set of equivalent atoms:
Tb (0.090, 0.000, 0.295) [4 per cell]
Nd (0.000, 0.255, 0.500) [4 per cell]
Nd (0.029, 0.500, 0.881) [4 per cell]
Nd (0.194, 0.500, 0.406) [4 per cell]
Nd (0.202, 0.235, 0.148) [8 per cell]
Sm (0.000, 0.000, 0.000) [2 per cell]
Sm (0.000, 0.000, 0.500) [2 per cell]
Sm (0.121, 0.500, 0.658) [4 per cell]
Sm (0.208, 0.000, 0.848) [4 per cell]

Summary:
**Electronic total energy**: -4.1869 eV per atom
**Total magnetization**: 0.0 μB per cell

8.
The following is a PBE-GGA calculation of Ba6Tl2Zn after structural relaxation, from Alexandria.

Cell: 10.412 5.990 14.378 Å, 90.00 90.15 90.00°
Space group C2/m (No. 12)
One atom of each set of equivalent atoms:
Ba (0.001, 0.000, 0.244) [4 per cell]
Ba (0.166, 0.500, 0.587) [4 per cell]
Ba (0.167, 0.500, 0.080) [4 per cell]
Tl (0.166, 0.500, 0.827) [4 per cell]
Zn (0.000, 0.000, 0.000) [2 per cell]

Summary:
**Electronic total energy**: -2.0931 eV per atom
**Total magnetization**: 0.0 μB per cell

9.
The following is a PBE-GGA calculation of TaHI2 after structural relaxation, from Alexandria.

Cell: 15.560 3.666 10.344 Å, 90.00 128.72 90.00°
Space group Cm (No. 8)
One atom of each set of equivalent atoms:
Ta (0.000, 0.000, 0.000) [2 per cell]
Ta (0.056, 0.500, 0.837) [2 per cell]
H (0.066, 0.500, 0.020) [2 per cell]
H (0.384, 0.500, 0.993) [2 per cell]
I (0.090, 0.500, 0.282) [2 per cell]
I (0.227, 0.000, 0.044) [2 per cell]
I (0.346, 0.000, 0.742) [2 per cell]
I (0.494, 0.500, 0.576) [2 per cell]

Summary:
**Electronic total energy**: -4.6860 eV per atom
**Total magnetization**: 0.0 μB per cell

10.
The following is a PBE-GGA calculation of La2CrHg after structural relaxation, from Alexandria.

Cell: 3.811 3.811 7.701 Å, 90.00 90.00 90.00°
Space group P4mm (No. 99)
One atom of each set of equivalent atoms:
La (0.000, 0.000, 0.000) [1 per cell]
La (0.500, 0.500, 0.326) [1 per cell]
Cr (0.000, 0.000, 0.568) [1 per cell]
Hg (0.500, 0.500, 0.750) [1 per cell]

Summary:
**Electronic total energy**: -4.8217 eV per atom
**Total magnetization**: 3.6 μB per cell

11.
The following is a PBE-GGA calculation of Pm4MnBi2 after structural relaxation, from Alexandria.

Cell: 4.999 4.999 17.070 Å, 90.00 90.00 90.00°
Space group I4/mmm (No. 139)
One atom of each set of equivalent atoms:
Pm (0.000, 0.000, 0.168) [4 per cell]
Pm (0.000, 0.500, 0.000) [4 per cell]
Mn (0.000, 0.000, 0.000) [2 per cell]
Bi (0.000, 0.000, 0.358) [4 per cell]

Summary:
**Electronic total energy**: -5.4783 eV per atom
**Total magnetization**: 0.0 μB per cell

12.
The following is a PBE-GGA calculation of Zr2Tc3 after structural relaxation, from Alexandria.

Cell: 4.5016 4.5016 5.5034 Å, 90.00 90.00 120.00°
Space group P-3m1 (No. 164)
One atom of each set of equivalent atoms:
Zr (0.3333, 0.6667, 0.3156) [2 per cell]
Tc (0.0000, 0.0000, 0.5000) [1 per cell]
Tc (0.3333, 0.6667, 0.8238) [2 per cell]

Summary:
**Electronic total energy**: -9.1061 eV per atom
**Total magnetization**: 0.5 μB per cell

13.
The following is a PBE-GGA calculation of CsTlCdF4 after structural relaxation, from Alexandria.

Cell: 4.533 4.533 14.512 Å, 90.00 90.00 90.00°
Space group I4mm (No. 107)
One atom of each set of equivalent atoms:
Cs (0.000, 0.000, 0.000) [2 per cell]
Tl (0.000, 0.000, 0.292) [2 per cell]
Cd (0.000, 0.000, 0.651) [2 per cell]
F (0.000, 0.000, 0.496) [2 per cell]
F (0.000, 0.000, 0.804) [2 per cell]
F (0.000, 0.500, 0.157) [4 per cell]

Summary:
**Total magnetization**: 0.0 μB per cell
**Formation energy (no corrections)**: -2.238 eV per atom

14.
The following is a PBE-GGA calculation of Ca6MgAg5 after structural relaxation, from Alexandria.

Cell: 5.256 7.569 8.362 Å, 90.00 107.73 90.00°
Space group P2/m (No. 10)
One atom of each set of equivalent atoms:
Ca (0.000, 0.237, 0.000) [2 per cell]
Ca (0.328, 0.247, 0.658) [4 per cell]
Mg (0.500, 0.500, 0.000) [1 per cell]
Ag (0.156, 0.500, 0.310) [2 per cell]
Ag (0.168, 0.000, 0.334) [2 per cell]
Ag (0.500, 0.000, 0.000) [1 per cell]

Summary:
**Electronic total energy**: -2.5847 eV per atom
**Total magnetization**: 0.0 μB per cell

15.
The following is a PBE-GGA calculation of RbNaAgI3 after structural relaxation, from Alexandria.

Cell: 9.995 4.696 10.857 Å, 90.00 105.08 90.00°
Space group P2_1/m (No. 11)
One atom of each set of equivalent atoms:
Rb (0.194, 0.250, 0.224) [2 per cell]
Na (0.347, 0.750, 0.866) [2 per cell]
Ag (0.075, 0.250, 0.585) [2 per cell]
I (0.108, 0.250, 0.854) [2 per cell]
I (0.223, 0.750, 0.527) [2 per cell]
I (0.449, 0.750, 0.169) [2 per cell]

Summary:
**Total magnetization**: 0.0 μB per cell
**Formation energy (no corrections)**: -0.996 eV per atom

16.
The following is a PBE-GGA calculation of CdPbW after structural relaxation, from Alexandria.

Cell: 3.006 3.006 15.205 Å, 90.00 90.00 90.00°
Space group I4mm (No. 107)
One atom of each set of equivalent atoms:
Cd (0.000, 0.000, 0.000) [2 per cell]
Pb (0.000, 0.000, 0.714) [2 per cell]
W (0.000, 0.000, 0.367) [2 per cell]

Summary:
**Electronic total energy**: -5.0470 eV per atom
**Total magnetization**: 0.0 μB per cell

17.
The following is a PBE-GGA calculation of NbPt3Au after structural relaxation, from Alexandria.

Cell: 4.864 4.864 4.864 Å, 90.00 90.00 90.00°
Space group Pm-3m (No. 221)
One atom of each set of equivalent atoms:
Nb (0.000, 0.000, 0.000) [1 per cell]
Pt (0.000, 0.000, 0.500) [3 per cell]
Au (0.500, 0.500, 0.500) [1 per cell]

Summary:
**Electronic total energy**: -5.2510 eV per atom
**Total magnetization**: 0.0 μB per cell

18.
The following is a PBE-GGA calculation of YbPr2S4 after structural relaxation, from Alexandria.

Cell: 8.577 8.577 8.633 Å, 90.00 90.00 90.00°
Space group I-42d (No. 122)
One atom of each set of equivalent atoms:
Yb (0.000, 0.000, 0.000) [4 per cell]
Pr (0.128, 0.250, 0.625) [8 per cell]
S (0.073, 0.180, 0.301) [16 per cell]

Summary:
**Total magnetization**: 0.9 μB per cell
**Formation energy (no corrections)**: -2.080 eV per atom

19.
The following is a PBE-GGA calculation of PrPd7Au12 after structural relaxation, from Alexandria.

Cell: 9.780 9.780 9.780 Å, 90.00 90.00 90.00°
Space group Im-3 (No. 204)
One atom of each set of equivalent atoms:
Pr (0.000, 0.000, 0.000) [2 per cell]
Pd (0.000, 0.000, 0.500) [6 per cell]
Pd (0.250, 0.250, 0.250) [8 per cell]
Au (0.000, 0.274, 0.152) [24 per cell]

Summary:
**Electronic total energy**: -3.7082 eV per atom
**Total magnetization**: 0.0 μB per cell

20.
The following is a PBE-GGA calculation of Tl5Ga after structural relaxation, from Alexandria.

Cell: 5.501 15.514 4.088 Å, 90.00 90.00 90.00°
Space group Cmmm (No. 65)
One atom of each set of equivalent atoms:
Tl (0.000, 0.000, 0.000) [2 per cell]
Tl (0.000, 0.173, 0.500) [4 per cell]
Tl (0.000, 0.352, 0.000) [4 per cell]
Ga (0.000, 0.500, 0.500) [2 per cell]

Summary:
**Electronic total energy**: -2.4235 eV per atom
**Total magnetization**: 0.0 μB per cell